Record 1
Material: BeBiSbI2
Method: DFT, PBE-GGA
State: relaxed

## Properties
Energy (eV/atom): -2.64
Distance to the lowest polymorph of the same formula (eV per atom): 0.0000
Raw formation energy (meV/atom): 330
Total magnetic moment (μB per cell): 0.0
Calculated density (kg/m³): 6998

Cell: 5.131 5.131 5.350 Å, 90.00 90.00 90.00°
Fractional coordinates of all 5 atoms:
Bi 0.500 0.500 0.500
I 0.500 0.000 0.000
Be 0.000 0.000 0.000
Sb 0.000 0.000 0.500
I 0.000 0.500 0.000

Record 2
Material: BeBiSe2I
Method: DFT, PBE-GGA
State: relaxed

## Properties
Energy (eV/atom): -2.50
Raw formation energy (meV/atom): 727
Total magnetic moment (μB per cell): 1.0
Calculated density (kg/m³): 5406

Cell: 5.652 4.834 5.652 Å, 90.00 90.00 90.00°
Last column: magnetic moment on the atom in μB.
Fractional coordinates of all 5 atoms:
Se 0.000 0.000 0.500  0.22
Bi 0.000 0.000 0.000  -0.03
I 0.500 0.500 0.500  0.23
Be 0.000 0.500 0.000  -0.01
Se 0.500 0.000 0.000  0.24

Record 3
Material: BeTcBi2I
Method: DFT, PBE-GGA
State: relaxed

## Properties
Energy (eV/atom): -4.25
Raw formation energy (meV/atom): 430
Total magnetic moment (μB per cell): 0.0
Calculated density (kg/m³): 8281

Cell: 5.356 4.556 5.356 Å, 90.00 90.00 90.00°
Fractional coordinates of all 5 atoms:
Be 0.000 0.500 0.000
I 0.500 0.500 0.500
Tc 0.000 0.000 0.000
Bi 0.000 0.000 0.500
Bi 0.500 0.000 0.000

Record 4
Material: BeTl2BiI
Method: DFT, PBE-GGA
State: relaxed

## Properties
Energy (eV/atom): -2.01
Raw formation energy (meV/atom): 771
Total magnetic moment (μB per cell): 0.0
Calculated density (kg/m³): 4889

Cell: 6.412 6.227 6.412 Å, 90.00 90.00 90.00°
Fractional coordinates of all 5 atoms:
Be 0.500 0.500 0.500
Tl 0.000 0.000 0.500
Bi 0.000 0.000 0.000
I 0.000 0.500 0.000
Tl 0.500 0.000 0.000

Record 5
Material: Be2InBi
Method: DFT, PBE-GGA
State: relaxed

## Properties
Energy (eV/atom): -2.82
Distance to the lowest polymorph of the same formula (eV per atom): 0.0000
Total magnetic moment (μB per cell): 0.0
DFT formation energy (eV/atom): 0.70
Calculated density (kg/m³): 6021

Cell: 6.407 6.407 6.451 Å, 60.22 60.22 90.00°
Fractional coordinates of all 8 atoms:
Be 0.375 0.362 0.750
In 0.500 0.500 0.000
Be 0.112 0.625 0.250
In 0.250 0.750 0.500
Bi 0.750 0.250 0.500
Bi 0.000 0.000 0.000
Be 0.638 0.125 0.250
Be 0.875 0.888 0.750

Record 6
Material: BeIn2Bi2
Method: DFT, PBE-GGA
State: relaxed

## Properties
Energy (eV/atom): -3.06
Total magnetic moment (μB per cell): 0.0
DFT formation energy (eV/atom): 0.33
Calculated density (kg/m³): 7636

Cell: 7.072 7.072 5.709 Å, 90.00 90.00 90.00°
Fractional coordinates of all 10 atoms:
Bi 0.158 0.342 0.000
Bi 0.842 0.658 0.000
In 0.330 0.170 0.500
Bi 0.658 0.158 0.000
Bi 0.342 0.842 0.000
In 0.830 0.330 0.500
In 0.170 0.670 0.500
Be 0.500 0.500 0.000
In 0.670 0.830 0.500
Be 0.000 0.000 0.000

Record 7
Material: Be2InBi
Method: DFT, PBE-GGA
State: relaxed

## Properties
Energy (eV/atom): -2.76
Distance to the lowest polymorph of the same formula (eV per atom): 0.0539
Total magnetic moment (μB per cell): 0.0
DFT formation energy (eV/atom): 0.75
Calculated density (kg/m³): 7229

Cell: 4.806 4.806 4.806 Å, 60.00 60.00 60.00°
Fractional coordinates of all 4 atoms:
Be 0.750 0.750 0.750
In 0.000 0.000 0.000
Be 0.250 0.250 0.250
Bi 0.500 0.500 0.500

Record 8
Material: BeIn3Bi
Method: DFT, PBE-GGA
State: relaxed

## Properties
Energy (eV/atom): -2.09
Total magnetic moment (μB per cell): 0.0
DFT formation energy (eV/atom): 1.08
Calculated density (kg/m³): 4506

Cell: 5.918 5.918 5.918 Å, 90.00 90.00 90.00°
Fractional coordinates of all 5 atoms:
In 0.000 0.500 0.000
In 0.500 0.000 0.000
Be 0.500 0.500 0.500
In 0.000 0.000 0.500
Bi 0.000 0.000 0.000

Record 9
Material: BeIn2Bi
Method: DFT, PBE-GGA
State: relaxed

## Properties
Energy (eV/atom): -2.74
Distance to the lowest polymorph of the same formula (eV per atom): 0.1552
Total magnetic moment (μB per cell): 0.0
DFT formation energy (eV/atom): 0.53
Calculated density (kg/m³): 7210

Cell: 5.263 5.263 5.263 Å, 60.00 60.00 60.00°
Fractional coordinates of all 4 atoms:
Bi 0.500 0.500 0.500
Be 0.000 0.000 0.000
In 0.250 0.250 0.250
In 0.750 0.750 0.750

Record 10
Material: BeIn2Bi
Method: DFT, PBE-GGA
State: relaxed

## Properties
Energy (eV/atom): -2.89
Distance to the lowest polymorph of the same formula (eV per atom): 0.0000
Total magnetic moment (μB per cell): 0.0
DFT formation energy (eV/atom): 0.38
Calculated density (kg/m³): 6649

Cell: 5.286 5.286 8.833 Å, 72.59 72.59 90.00°
Fractional coordinates of all 8 atoms:
Be 0.500 0.500 0.000
Be 0.250 0.750 0.500
In 0.875 0.773 0.750
In 0.227 0.625 0.250
In 0.375 0.477 0.750
In 0.523 0.125 0.250
Bi 0.000 0.000 0.000
Bi 0.750 0.250 0.500

Record 11
Material: BeInBi
Method: DFT, PBE-GGA
State: relaxed

## Properties
Energy (eV/atom): -2.74
Total magnetic moment (μB per cell): 0.0
DFT formation energy (eV/atom): 0.71
Calculated density (kg/m³): 6382

Cell: 4.966 4.966 4.966 Å, 60.00 60.00 60.00°
Fractional coordinates of all 3 atoms:
Bi 0.250 0.250 0.250
In 0.000 0.000 0.000
Be 0.500 0.500 0.500

Record 12
Material: KBeIn2Bi
Method: DFT, PBE-GGA
State: relaxed

## Properties
Energy (eV/atom): -2.02
Total magnetic moment (μB per cell): 0.0
DFT formation energy (eV/atom): 0.82
Calculated density (kg/m³): 3371

Cell: 5.965 6.739 5.965 Å, 90.00 90.00 90.00°
Fractional coordinates of all 5 atoms:
In 0.000 0.000 0.500
Bi 0.000 0.000 0.000
Be 0.500 0.500 0.500
In 0.500 0.000 0.000
K 0.000 0.500 0.000

Record 13
Material: BeNbIn2Bi
Method: DFT, PBE-GGA
State: relaxed

## Properties
Energy (eV/atom): -3.15
Total magnetic moment (μB per cell): 3.6
DFT formation energy (eV/atom): 1.48
Calculated density (kg/m³): 5610

Cell: 6.062 4.355 6.062 Å, 90.00 90.00 90.00°
Last column: magnetic moment on the atom in μB.
Fractional coordinates of all 5 atoms:
In 0.500 0.000 0.000  -0.02
In 0.000 0.000 0.500  0.01
Nb 0.500 0.500 0.500  2.65
Bi 0.000 0.000 0.000  0.05
Be 0.000 0.500 0.000  -0.02

Record 14
Material: Be2InBi2O6
Method: DFT, PBE-GGA
State: relaxed

## Properties
Energy (eV/atom): -5.93
Raw formation energy (meV/atom): -1594
Total magnetic moment (μB per cell): 0.0
Calculated density (kg/m³): 6302

Cell: 5.118 5.118 7.511 Å, 90.00 90.00 120.00°
Fractional coordinates of all 11 atoms:
Be 0.333 0.667 0.832
O 0.671 0.639 0.176
In 0.000 0.000 0.000
Bi 0.667 0.333 0.666
Bi 0.333 0.667 0.334
O 0.033 0.671 0.824
O 0.639 0.967 0.824
Be 0.667 0.333 0.168
O 0.967 0.329 0.176
O 0.329 0.361 0.824
O 0.361 0.033 0.176

Record 15
Material: BeVInBi2
Method: DFT, PBE-GGA
State: relaxed

## Properties
Energy (eV/atom): -3.16
Total magnetic moment (μB per cell): 2.8
DFT formation energy (eV/atom): 1.51
Calculated density (kg/m³): 5855

Cell: 5.692 5.189 5.692 Å, 90.00 90.00 90.00°
Last column: magnetic moment on the atom in μB.
Fractional coordinates of all 5 atoms:
V 0.000 0.500 0.000  2.79
Be 0.500 0.500 0.500  -0.06
In 0.000 0.000 0.000  0.01
Bi 0.500 0.000 0.000  -0.24
Bi 0.000 0.000 0.500  -0.17

Record 16
Material: BeBiIr2
Method: DFT, PBE-GGA
State: relaxed

## Properties
Energy (eV/atom): -5.97
Distance to the lowest polymorph of the same formula (eV per atom): 0.0000
Total magnetic moment (μB per cell): 0.0
DFT formation energy (eV/atom): 0.36
Calculated density (kg/m³): 12738

Cell: 4.587 4.587 8.139 Å, 73.63 73.63 90.00°
Fractional coordinates of all 8 atoms:
Ir 0.875 0.739 0.750
Ir 0.489 0.125 0.250
Ir 0.375 0.511 0.750
Bi 0.750 0.250 0.500
Be 0.500 0.500 0.000
Ir 0.261 0.625 0.250
Be 0.250 0.750 0.500
Bi 0.000 0.000 0.000

Record 17
Material: BeBiIr2
Method: DFT, PBE-GGA
State: relaxed

## Properties
Energy (eV/atom): -5.94
Distance to the lowest polymorph of the same formula (eV per atom): 0.0328
Total magnetic moment (μB per cell): 0.6
DFT formation energy (eV/atom): 0.39
Calculated density (kg/m³): 15554

Cell: 4.497 4.497 4.497 Å, 60.00 60.00 60.00°
Last column: magnetic moment on the atom in μB.
Fractional coordinates of all 4 atoms:
Be 0.000 0.000 0.000  0.01
Bi 0.500 0.500 0.500  0.02
Ir 0.250 0.250 0.250  0.29
Ir 0.750 0.750 0.750  0.29

Record 18
Material: BeBi3Ir
Method: DFT, PBE-GGA
State: relaxed

## Properties
Energy (eV/atom): -3.86
Distance to the lowest polymorph of the same formula (eV per atom): 0.0655
Total magnetic moment (μB per cell): 0.0
DFT formation energy (eV/atom): 0.99
Calculated density (kg/m³): 8865

Cell: 5.373 5.373 5.373 Å, 90.00 90.00 90.00°
Fractional coordinates of all 5 atoms:
Ir 0.000 0.000 0.000
Bi 0.000 0.000 0.500
Bi 0.500 0.000 0.000
Bi 0.000 0.500 0.000
Be 0.500 0.500 0.500

Record 19
Material: BeBi3Ir
Method: DFT, PBE-GGA
State: relaxed

## Properties
Energy (eV/atom): -3.92
Distance to the lowest polymorph of the same formula (eV per atom): 0.0000
Total magnetic moment (μB per cell): 0.0
DFT formation energy (eV/atom): 0.92
Calculated density (kg/m³): 11471

Cell: 4.931 4.931 4.931 Å, 90.00 90.00 90.00°
Fractional coordinates of all 5 atoms:
Bi 0.500 0.000 0.000
Bi 0.000 0.000 0.500
Be 0.000 0.000 0.000
Bi 0.000 0.500 0.000
Ir 0.500 0.500 0.500

Record 20
Material: BeBi2Ir
Method: DFT, PBE-GGA
State: relaxed

## Properties
Energy (eV/atom): -4.48
Total magnetic moment (μB per cell): 0.0
DFT formation energy (eV/atom): 0.61
Calculated density (kg/m³): 9555

Cell: 6.079 6.079 7.239 Å, 65.17 65.17 90.00°
Fractional coordinates of all 8 atoms:
Bi 0.143 0.625 0.250
Ir 0.000 0.000 0.000
Bi 0.375 0.393 0.750
Ir 0.750 0.250 0.500
Be 0.500 0.500 0.000
Bi 0.607 0.125 0.250
Bi 0.875 0.857 0.750
Be 0.250 0.750 0.500